Compound: Cu2PBr2
Source: Alexandria via LeMat-Bulk
Functional: PBE-GGA
Structure: optimized geometry

Total magnetization   0.000 μB/f.u.
Energy relative to the lowest polymorph listed for this composition   0.72 eV/f.u.
ΔE_f (raw)   0.643 eV per atom

Cell: 7.835 7.835 3.392 Å, 90.00 90.00 90.00°
Positions (direct):
Cu1 0.607 0.893 0.500
Cu2 0.107 0.607 0.500
Cu3 0.893 0.393 0.500
Cu4 0.393 0.107 0.500
P1 0.000 0.000 0.000
P2 0.500 0.500 0.000
Br1 0.771 0.729 0.000
Br2 0.229 0.271 0.000
Br3 0.271 0.771 0.000
Br4 0.729 0.229 0.000